Computed, not measured: a geometry-optimized VRh3O6 structure at the PBE+U level of DFT.

* density of states at the Fermi level: 9.0 states/eV per cell
* total energy: -68.97 eV per cell
* ρ: 6.77 g/cm³

a b c (Å): 6.0803 6.0803 3.2093
angles (deg): 90.00 90.00 109.70
Last column: nearest neighbours and their distance in Å.
Sites, in units of the cell vectors:
1 V 0.0000 0.0000 0.0000  8 O 2.12-2.36
2 Rh 0.0000 0.5000 0.5000  6 O 2.03-2.07
3 Rh 0.5000 0.0000 0.5000  6 O 2.03-2.07
4 Rh 0.5000 0.5000 0.0000  4 O 1.96
5 O 0.1387 0.8613 0.5000  2 Rh 2.07, 2 V 2.12
6 O 0.1584 0.4123 0.0000  3 Rh 1.96-2.03
7 O 0.4123 0.1584 0.0000  3 Rh 1.96-2.03
8 O 0.5877 0.8416 0.0000  3 Rh 1.96-2.03
9 O 0.8416 0.5877 0.0000  3 Rh 1.96-2.03
10 O 0.8613 0.1387 0.5000  2 Rh 2.07, 2 V 2.12